Below is an optimized crystal structure of DyBe2Ni2, with properties calculated at the GGA-PBE level.

The final energy is -5.067 eV/atom. The calculation puts the volume at 132.02 Å³ per cell. As for the formation energy: -1.72 eV per formula unit.

It has space group I4/mmm (No. 139), with a = 3.754 Å, b = 3.754 Å, c = 9.366 Å, α = 90.00°, β = 90.00° and γ = 90.00°. The distinct sites, in fractional coordinates, are Dy at (0.000, 0.000, 0.000), Be at (0.000, 0.000, 0.370) and Ni at (0.000, 0.500, 0.250).

=====

Below is an optimized crystal structure of ZrTi4Bi, with properties calculated at the GGA-PBE level.

The final energy is -7.240 eV/atom. The calculation puts the volume at 475.29 Å³ per cell. As for the formation energy: 0.57 eV per formula unit.

It has space group F-43m (No. 216), with a = 7.804 Å, b = 7.804 Å, c = 7.804 Å, α = 90.00°, β = 90.00° and γ = 90.00°. The distinct sites, in fractional coordinates, are Zr at (0.000, 0.000, 0.000), Ti at (0.128, 0.128, 0.628) and Bi at (0.250, 0.250, 0.250).